The following is a PBE calculation of an optimized crystal structure of Ce2ErTh2, from the Alexandria database.

The energy relative to the elements comes out at 0.027 eV per atom. The total DFT energy (no corrections) is -6.227 eV per atom. The size of the total moment is 0.00 Bohr magnetons per cell.

The space group is R-3m (No. 166, hexagonal axes) and the conventional cell measures 3.4948, 3.4948 and 42.4395 Å, with angles of 90.00, 90.00 and 120.00 degrees. Symmetry generates all atoms from Ce at (0.0000, 0.0000, 0.1990), Er at (0.0000, 0.0000, 0.0000) and Th at (0.0000, 0.0000, 0.4018).


The following is a PBE calculation of an optimized crystal structure of NaPmMgGe, from the Alexandria database.

The energy relative to the elements comes out at -0.183 eV per atom. The total DFT energy (no corrections) is -3.254 eV per atom. The size of the total moment is 0.00 Bohr magnetons per cell.

The space group is F-43m (No. 216) and the conventional cell measures 7.3269, 7.3269 and 7.3269 Å, with angles of 90.00, 90.00 and 90.00 degrees. Symmetry generates all atoms from Na at (0.0000, 0.0000, 0.0000), Pm at (0.0000, 0.0000, 0.5000), Mg at (0.2500, 0.2500, 0.2500) and Ge at (0.2500, 0.2500, 0.7500).